# 1
The following is a DFT calculation (GGA-PBE) of a relaxed structure of CdCoTc2.

Properties
Formation energy (meV per atom): 750
Crystal system: tetragonal

The structure in CIF format:
```
data_CdCoTc2
_cell_length_a 7.1803
_cell_length_b 7.1803
_cell_length_c 5.0105
_cell_angle_alpha 90.00
_cell_angle_beta 90.00
_cell_angle_gamma 90.00
_symmetry_space_group_name_H-M 'I -4 2 d'
_symmetry_Int_Tables_number 122
_symmetry_space_group_name_Hall 'I -4 2bw'
loop_
_atom_site_label
_atom_site_fract_x
_atom_site_fract_y
_atom_site_fract_z
_atom_site_occupancy
Cd1 0.0000 0.0000 0.0000 1
Co1 0.0000 0.0000 0.5000 1
Tc1 0.1909 0.2500 0.6250 1
```



# 2
The following is a DFT calculation (GGA-PBE) of a relaxed structure of Y4SeS2.

Properties
Uncorrected formation energy (eV per formula unit): -11.59
Crystal system: trigonal

The structure in CIF format:
```
data_Y4SeS2
_cell_length_a 3.9081
_cell_length_b 3.9081
_cell_length_c 38.5972
_cell_angle_alpha 90.00
_cell_angle_beta 90.00
_cell_angle_gamma 120.00
_symmetry_space_group_name_H-M 'R -3 m'
_symmetry_Int_Tables_number 166
_symmetry_space_group_name_Hall '-R 3 2"'
loop_
_atom_site_label
_atom_site_fract_x
_atom_site_fract_y
_atom_site_fract_z
_atom_site_occupancy
Y1 0.0000 0.0000 0.1287 1
Y2 0.0000 0.0000 0.2852 1
Se1 0.0000 0.0000 0.0000 1
S1 0.0000 0.0000 0.4209 1
```



# 3
The following is a DFT calculation (GGA-PBE) of a relaxed structure of ThScS2.

Properties
Uncorrected formation energy (eV per formula unit): -7.32
Energy relative to the lowest polymorph listed for this composition (meV per atom): 0
Crystal system: trigonal

The structure in CIF format:
```
data_ThScS2
_cell_length_a 3.7848
_cell_length_b 3.7848
_cell_length_c 19.8572
_cell_angle_alpha 90.00
_cell_angle_beta 90.00
_cell_angle_gamma 120.00
_symmetry_space_group_name_H-M 'R -3 m'
_symmetry_Int_Tables_number 166
_symmetry_space_group_name_Hall '-R 3 2"'
loop_
_atom_site_label
_atom_site_fract_x
_atom_site_fract_y
_atom_site_fract_z
_atom_site_occupancy
Th1 0.0000 0.0000 0.0000 1
Sc1 0.0000 0.0000 0.5000 1
S1 0.0000 0.0000 0.2392 1
```



# 4
The following is a DFT calculation (GGA-PBE) of a relaxed structure of Ca2AcThSb4.

Properties
Uncorrected formation energy (eV per formula unit): -7.67
Crystal system: monoclinic

The structure in CIF format:
```
data_Ca2AcThSb4
_cell_length_a 7.8296
_cell_length_b 4.6557
_cell_length_c 8.0842
_cell_angle_alpha 90.00
_cell_angle_beta 110.09
_cell_angle_gamma 90.00
_symmetry_space_group_name_H-M 'P 1 2/m 1'
_symmetry_Int_Tables_number 10
_symmetry_space_group_name_Hall '-P 2y'
loop_
_atom_site_label
_atom_site_fract_x
_atom_site_fract_y
_atom_site_fract_z
_atom_site_occupancy
Ca1 0.0000 0.0000 0.0000 1
Ca2 0.0000 0.5000 0.5000 1
Ac1 0.5000 0.0000 0.5000 1
Th1 0.5000 0.5000 0.0000 1
Sb1 0.2443 0.5000 0.2362 1
Sb2 0.2517 0.0000 0.7612 1
```



# 5
The following is a DFT calculation (GGA-PBE) of a relaxed structure of La2Pm2Pb7.

Properties
Formation energy (meV per atom): -330
Crystal system: monoclinic

The structure in CIF format:
```
data_La2Pm2Pb7
_cell_length_a 14.5676
_cell_length_b 11.2938
_cell_length_c 4.5704
_cell_angle_alpha 90.00
_cell_angle_beta 102.04
_cell_angle_gamma 90.00
_symmetry_space_group_name_H-M 'C 1 2/m 1'
_symmetry_Int_Tables_number 12
_symmetry_space_group_name_Hall '-C 2y'
loop_
_atom_site_label
_atom_site_fract_x
_atom_site_fract_y
_atom_site_fract_z
_atom_site_occupancy
La1 0.0000 0.2118 0.0000 1
Pm1 0.2150 0.0000 0.7384 1
Pb1 0.0000 0.0000 0.5000 1
Pb2 0.0687 0.5000 0.2970 1
Pb3 0.1897 0.3069 0.7031 1
```



# 6
The following is a DFT calculation (GGA-PBE) of a relaxed structure of RbHf3Bi.

Properties
Energy relative to the lowest polymorph listed for this composition (meV per atom): 734
Formation energy (meV per atom): 2183
Crystal system: cubic

The structure in CIF format:
```
data_RbHf3Bi
_cell_length_a 5.1299
_cell_length_b 5.1299
_cell_length_c 5.1299
_cell_angle_alpha 90.00
_cell_angle_beta 90.00
_cell_angle_gamma 90.00
_symmetry_space_group_name_H-M 'P m -3 m'
_symmetry_Int_Tables_number 221
_symmetry_space_group_name_Hall '-P 4 2 3'
loop_
_atom_site_label
_atom_site_fract_x
_atom_site_fract_y
_atom_site_fract_z
_atom_site_occupancy
Rb1 0.0000 0.0000 0.0000 1
Hf1 0.0000 0.0000 0.5000 1
Bi1 0.5000 0.5000 0.5000 1
```



# 7
The following is a DFT calculation (GGA-PBE) of a relaxed structure of ScTa2Al.

Properties
Formation energy (meV per atom): 118
Crystal system: tetragonal

The structure in CIF format:
```
data_ScTa2Al
_cell_length_a 3.5097
_cell_length_b 3.5097
_cell_length_c 6.0621
_cell_angle_alpha 90.00
_cell_angle_beta 90.00
_cell_angle_gamma 90.00
_symmetry_space_group_name_H-M 'P 4/m m m'
_symmetry_Int_Tables_number 123
_symmetry_space_group_name_Hall '-P 4 2'
loop_
_atom_site_label
_atom_site_fract_x
_atom_site_fract_y
_atom_site_fract_z
_atom_site_occupancy
Sc1 0.0000 0.0000 0.0000 1
Ta1 0.5000 0.5000 0.2791 1
Al1 0.0000 0.0000 0.5000 1
```



# 8
The following is a DFT calculation (GGA-PBE) of a relaxed structure of CaZnAu.

Properties
Formation energy (meV per atom): -587
Crystal system: hexagonal

The structure in CIF format:
```
data_CaZnAu
_cell_length_a 4.5484
_cell_length_b 4.5484
_cell_length_c 3.7832
_cell_angle_alpha 90.00
_cell_angle_beta 90.00
_cell_angle_gamma 120.00
_symmetry_space_group_name_H-M 'P -6 m 2'
_symmetry_Int_Tables_number 187
_symmetry_space_group_name_Hall 'P -6 2'
loop_
_atom_site_label
_atom_site_fract_x
_atom_site_fract_y
_atom_site_fract_z
_atom_site_occupancy
Ca1 0.0000 0.0000 0.0000 1
Zn1 0.6667 0.3333 0.5000 1
Au1 0.3333 0.6667 0.5000 1
```



# 9
The following is a DFT calculation (GGA-PBE) of a relaxed structure of Ac3LaHo.

Properties
Energy relative to the lowest polymorph listed for this composition (meV per atom): 0
Formation energy (meV per atom): 48
Crystal system: monoclinic

The structure in CIF format:
```
data_Ac3LaHo
_cell_length_a 19.9663
_cell_length_b 3.8704
_cell_length_c 10.8705
_cell_angle_alpha 90.00
_cell_angle_beta 105.12
_cell_angle_gamma 90.00
_symmetry_space_group_name_H-M 'C 1 2/m 1'
_symmetry_Int_Tables_number 12
_symmetry_space_group_name_Hall '-C 2y'
loop_
_atom_site_label
_atom_site_fract_x
_atom_site_fract_y
_atom_site_fract_z
_atom_site_occupancy
Ac1 0.0012 0.0000 0.2408 1
Ac2 0.1032 0.5000 0.5441 1
Ac3 0.2032 0.0000 0.8463 1
La1 0.1028 0.5000 0.0551 1
Ho1 0.2021 0.0000 0.3549 1
```



# 10
The following is a DFT calculation (GGA-PBE) of a relaxed structure of PaAlC.

Properties
Energy relative to the lowest polymorph listed for this composition (meV per atom): 263
Formation energy (meV per atom): 133
Crystal system: tetragonal

The structure in CIF format:
```
data_PaAlC
_cell_length_a 3.3104
_cell_length_b 3.3104
_cell_length_c 11.1515
_cell_angle_alpha 90.00
_cell_angle_beta 90.00
_cell_angle_gamma 90.00
_symmetry_space_group_name_H-M 'I 4 m m'
_symmetry_Int_Tables_number 107
_symmetry_space_group_name_Hall 'I 4 -2'
loop_
_atom_site_label
_atom_site_fract_x
_atom_site_fract_y
_atom_site_fract_z
_atom_site_occupancy
Pa1 0.0000 0.0000 0.0000 1
Al1 0.0000 0.0000 0.7225 1
C1 0.0000 0.0000 0.5425 1
```



# 11
The following is a DFT calculation (GGA-PBE) of a relaxed structure of BaCa2Br.

Properties
Uncorrected formation energy (eV per formula unit): -2.23
Crystal system: tetragonal

The structure in CIF format:
```
data_BaCa2Br
_cell_length_a 3.8567
_cell_length_b 3.8567
_cell_length_c 10.7776
_cell_angle_alpha 90.00
_cell_angle_beta 90.00
_cell_angle_gamma 90.00
_symmetry_space_group_name_H-M 'P 4/m m m'
_symmetry_Int_Tables_number 123
_symmetry_space_group_name_Hall '-P 4 2'
loop_
_atom_site_label
_atom_site_fract_x
_atom_site_fract_y
_atom_site_fract_z
_atom_site_occupancy
Ba1 0.0000 0.0000 0.0000 1
Ca1 0.5000 0.5000 0.2944 1
Br1 0.0000 0.0000 0.5000 1
```



# 12
The following is a DFT calculation (GGA-PBE) of a relaxed structure of SrPmHo2.

Properties
Energy relative to the lowest polymorph listed for this composition (meV per atom): 102
Formation energy (meV per atom): 228
Crystal system: trigonal

The structure in CIF format:
```
data_SrPmHo2
_cell_length_a 3.6229
_cell_length_b 3.6229
_cell_length_c 38.3783
_cell_angle_alpha 90.00
_cell_angle_beta 90.00
_cell_angle_gamma 120.00
_symmetry_space_group_name_H-M 'R -3 m'
_symmetry_Int_Tables_number 166
_symmetry_space_group_name_Hall '-R 3 2"'
loop_
_atom_site_label
_atom_site_fract_x
_atom_site_fract_y
_atom_site_fract_z
_atom_site_occupancy
Sr1 0.0000 0.0000 0.0000 1
Pm1 0.0000 0.0000 0.5000 1
Ho1 0.0000 0.0000 0.0924 1
```



# 13
The following is a DFT calculation (GGA-PBE) of a relaxed structure of PrSmTm2.

Properties
Energy relative to the lowest polymorph listed for this composition (meV per atom): 8
Formation energy (meV per atom): 26
Crystal system: tetragonal

The structure in CIF format:
```
data_PrSmTm2
_cell_length_a 3.5971
_cell_length_b 3.5971
_cell_length_c 10.0251
_cell_angle_alpha 90.00
_cell_angle_beta 90.00
_cell_angle_gamma 90.00
_symmetry_space_group_name_H-M 'P 4/m m m'
_symmetry_Int_Tables_number 123
_symmetry_space_group_name_Hall '-P 4 2'
loop_
_atom_site_label
_atom_site_fract_x
_atom_site_fract_y
_atom_site_fract_z
_atom_site_occupancy
Pr1 0.0000 0.0000 0.0000 1
Sm1 0.0000 0.0000 0.5000 1
Tm1 0.5000 0.5000 0.2529 1
```



# 14
The following is a DFT calculation (GGA-PBE) of a relaxed structure of Ti3BH.

Properties
Energy relative to the lowest polymorph listed for this composition (meV per atom): 305
Crystal system: cubic

The structure in CIF format:
```
data_Ti3BH
_cell_length_a 3.8402
_cell_length_b 3.8402
_cell_length_c 3.8402
_cell_angle_alpha 90.00
_cell_angle_beta 90.00
_cell_angle_gamma 90.00
_symmetry_space_group_name_H-M 'P m -3 m'
_symmetry_Int_Tables_number 221
_symmetry_space_group_name_Hall '-P 4 2 3'
loop_
_atom_site_label
_atom_site_fract_x
_atom_site_fract_y
_atom_site_fract_z
_atom_site_occupancy
Ti1 0.0000 0.0000 0.5000 1
B1 0.5000 0.5000 0.5000 1
H1 0.0000 0.0000 0.0000 1
```



# 15
The following is a DFT calculation (GGA-PBE) of a relaxed structure of LiLaTa2.

Properties
Energy relative to the lowest polymorph listed for this composition (meV per atom): 86
Formation energy (meV per atom): 430
Crystal system: tetragonal

The structure in CIF format:
```
data_LiLaTa2
_cell_length_a 2.9091
_cell_length_b 2.9091
_cell_length_c 10.1392
_cell_angle_alpha 90.00
_cell_angle_beta 90.00
_cell_angle_gamma 90.00
_symmetry_space_group_name_H-M 'P 4 m m'
_symmetry_Int_Tables_number 99
_symmetry_space_group_name_Hall 'P 4 -2'
loop_
_atom_site_label
_atom_site_fract_x
_atom_site_fract_y
_atom_site_fract_z
_atom_site_occupancy
Li1 0.0000 0.0000 0.0000 1
La1 0.5000 0.5000 0.7126 1
Ta1 0.0000 0.0000 0.4423 1
Ta2 0.5000 0.5000 0.2250 1
```



# 16
The following is a DFT calculation (GGA-PBE) of a relaxed structure of Na2ScHIr.

Properties
Energy (eV/atom): -3.545
Crystal system: tetragonal

The structure in CIF format:
```
data_Na2ScHIr
_cell_length_a 5.5362
_cell_length_b 5.5362
_cell_length_c 3.3160
_cell_angle_alpha 90.00
_cell_angle_beta 90.00
_cell_angle_gamma 90.00
_symmetry_space_group_name_H-M 'P 4/m m m'
_symmetry_Int_Tables_number 123
_symmetry_space_group_name_Hall '-P 4 2'
loop_
_atom_site_label
_atom_site_fract_x
_atom_site_fract_y
_atom_site_fract_z
_atom_site_occupancy
Na1 0.0000 0.5000 0.0000 1
Sc1 0.0000 0.0000 0.5000 1
H1 0.5000 0.5000 0.5000 1
Ir1 0.5000 0.5000 0.0000 1
```



These records have total magnetization values of 0.0, 0.0, 0.0, 0.0, 0.0, 0.2, 0.0, 0.0, 0.0, 0.0, 0.0, 0.0, 0.0, 0.0, 0.0, 0.0 μB/f.u., in the order they appear.
These records have V values of 258, 511, 246, 277, 735, 135, 75, 68, 811, 122, 160, 436, 130, 57, 86, 102 Å³ per cell, in the order they appear.